Material: MgMn6O4F8
Method: DFT, PBE+U
State: relaxed

Cell: 5.4129 5.9888 7.8615 Å, 83.07 88.03 86.76°
Last column: nearest neighbours and their distance in Å.
Space group P1 (No. 1)
Symmetry-distinct sites (fractional):
Mg (0.0000, 0.0000, 0.0000) [1 per cell]  3 F 1.97-2.08, 2 O 1.99-2.04
Mn (0.0090, 0.9833, 0.5326) [1 per cell]  1 O 2.03, 4 F 2.19-2.27
Mn (0.1016, 0.3992, 0.2213) [1 per cell]  1 O 1.98, 4 F 2.11-2.21
Mn (0.5187, 0.4851, 0.5186) [1 per cell]  2 O 1.88-1.91, 1 F 2.07
Mn (0.5260, 0.8452, 0.1998) [1 per cell]  2 O 2.04, 1 F 2.17
Mn (0.5407, 0.1279, 0.8344) [1 per cell]  3 O 1.88-2.10, 2 F 2.07
Mn (0.9239, 0.5921, 0.8156) [1 per cell]  2 O 1.99-2.05, 2 F 2.17-2.19
O (0.3920, 0.5429, 0.2974) [1 per cell]  3 Mn 1.88-2.04
O (0.6450, 0.4245, 0.7438) [1 per cell]  3 Mn 1.91-1.99
O (0.6611, 0.1202, 0.0566) [1 per cell]  2 Mn 1.88-2.04, 1 Mg 1.99
O (0.8602, 0.9350, 0.7745) [1 per cell]  3 Mn 2.03-2.10, 1 Mg 2.04
F (0.1331, 0.3133, 0.9551) [1 per cell]  1 Mg 2.03, 2 Mn 2.17-2.21
F (0.1461, 0.0288, 0.2555) [1 per cell]  3 Mn 2.20-2.33, 1 Mg 2.21
F (0.2030, 0.6505, 0.6082) [1 per cell]  3 Mn 2.07-2.22
F (0.3299, 0.8671, 0.9423) [1 per cell]  1 Mg 1.97, 1 Mn 2.07
F (0.3509, 0.1576, 0.6080) [1 per cell]  3 Mn 2.07-2.30
F (0.7121, 0.7913, 0.4433) [1 per cell]  3 Mn 2.17-2.21
F (0.8417, 0.3099, 0.4271) [1 per cell]  3 Mn 2.14-2.19
F (0.8984, 0.6771, 0.0931) [1 per cell]  1 Mg 2.08, 2 Mn 2.11-2.30

Calculated values
ρ in g cm⁻³: 3.75
Volume in Å³ per cell: 252.5
Energy above the lowest structure with this stoichiometry in eV per atom: 0.016
Spin magnetization in Bohr magnetons per cell: 28.0
VASP energy in eV per atom: -6.567